Here is an optimized crystal structure of Tb2Al3Zn4Ag from the Alexandria database. Energies are from PBE.

Properties
E_form	-0.321	eV/atom
E_tot	-3.1644	eV per atom
crystal system	tetragonal

Lattice parameters (Å, degrees): 4.2059 4.2059 10.7787 90.00 90.00 90.00
Last column: nearest neighbours and their distance in Å.
Sites, in units of the cell vectors:
Zn (0.5000, 0.0000, 0.6412)  3 Al 2.42-2.60, 2 Ag 2.60
Zn (0.0000, 0.0000, 0.0000)  4 Al 2.55
Zn (0.5000, 0.5000, 0.0000)  4 Al 2.55
Zn (0.0000, 0.5000, 0.3588)  3 Al 2.42-2.60, 2 Ag 2.60
Al (0.5000, 0.0000, 0.8661)  5 Zn 2.42-2.55
Al (0.0000, 0.5000, 0.1339)  5 Zn 2.42-2.55
Al (0.0000, 0.0000, 0.5000)  4 Zn 2.60
Tb (0.5000, 0.0000, 0.2439)  6 Al 3.20-3.47, 8 Zn 3.22-3.37, 2 Ag 3.47
Tb (0.0000, 0.5000, 0.7561)  6 Al 3.20-3.47, 8 Zn 3.22-3.37, 2 Ag 3.47
Ag (0.5000, 0.5000, 0.5000)  4 Zn 2.60